1.
{
  "formula": "Th2ZrRh9",
  "functional": "PBE",
  "state": "optimized geometry",
  "n_ef_per_ev_atom": 1.01,
  "sg": "P4/mmm, No. 123",
  "lattice_angstrom": [[4.084, 0.000, 0.000], [0.000, 4.084, 0.000], [0.000, 0.000, 12.207]],
  "species": ["Th", "Th", "Zr", "Rh", "Rh", "Rh", "Rh", "Rh", "Rh", "Rh", "Rh", "Rh"],
  "fractional_positions": [[0.000, 0.000, 0.171], [0.000, 0.000, 0.829], [0.000, 0.000, 0.500], [0.000, 0.500, 0.000], [0.000, 0.500, 0.344], [0.000, 0.500, 0.656], [0.500, 0.000, 0.000], [0.500, 0.000, 0.344], [0.500, 0.000, 0.656], [0.500, 0.500, 0.172], [0.500, 0.500, 0.500], [0.500, 0.500, 0.828]]
}



2.
{
  "formula": "NaTbBr",
  "functional": "PBE",
  "state": "optimized geometry",
  "n_ef_per_ev_atom": 0.74,
  "sg": "C2/m, No. 12",
  "formation_energy_uncorrected_mev_per_atom": -829.8,
  "lattice_angstrom": [[3.255, -1.879, 0.000], [3.255, 1.879, 0.000], [-2.193, 0.000, 14.554]],
  "species": ["Na", "Na", "Tb", "Tb", "Br", "Br"],
  "fractional_positions": [[0.198, 0.198, 0.100], [0.802, 0.802, 0.900], [0.301, 0.301, 0.404], [0.699, 0.699, 0.596], [0.416, 0.416, 0.746], [0.584, 0.584, 0.254]]
}



3.
{
  "formula": "La6PrNi3",
  "functional": "PBE",
  "state": "optimized geometry",
  "n_ef_per_ev_atom": 1.16,
  "sg": "Cmc2_1, No. 36",
  "lattice_angstrom": [[5.756, -6.794, 0.000], [5.756, 6.794, 0.000], [0.000, 0.000, 7.374]],
  "species": ["La", "La", "La", "La", "La", "La", "La", "La", "La", "La", "La", "La", "Pr", "Pr", "Ni", "Ni", "Ni", "Ni", "Ni", "Ni"],
  "fractional_positions": [[0.033, 0.413, 0.657], [0.034, 0.966, 0.500], [0.225, 0.775, 0.839], [0.291, 0.377, 0.020], [0.377, 0.291, 0.520], [0.413, 0.033, 0.157], [0.587, 0.967, 0.657], [0.623, 0.709, 0.020], [0.709, 0.623, 0.520], [0.775, 0.225, 0.339], [0.966, 0.034, 0.000], [0.967, 0.587, 0.157], [0.326, 0.674, 0.384], [0.674, 0.326, 0.884], [0.099, 0.289, 0.312], [0.289, 0.099, 0.812], [0.421, 0.579, 0.718], [0.579, 0.421, 0.218], [0.711, 0.901, 0.312], [0.901, 0.711, 0.812]]
}



4.
{
  "formula": "Li2VAu2",
  "functional": "PBE",
  "state": "optimized geometry",
  "n_ef_per_ev_atom": 0.40,
  "sg": "P4/mbm, No. 127",
  "e_above_lowest_polymorph_mev_per_atom": 0.0,
  "lattice_angstrom": [[7.224, 0.000, 0.000], [0.000, 7.224, 0.000], [0.000, 0.000, 2.899]],
  "species": ["Li", "Li", "Li", "Li", "V", "V", "Au", "Au", "Au", "Au"],
  "fractional_positions": [[0.116, 0.384, 0.000], [0.384, 0.884, 0.000], [0.616, 0.116, 0.000], [0.884, 0.616, 0.000], [0.000, 0.000, 0.000], [0.500, 0.500, 0.000], [0.184, 0.684, 0.500], [0.316, 0.184, 0.500], [0.684, 0.816, 0.500], [0.816, 0.316, 0.500]]
}



5.
{
  "formula": "Tb12Dy6Al",
  "functional": "PBE",
  "state": "optimized geometry",
  "n_ef_per_ev_atom": 1.46,
  "sg": "R-3, No. 148",
  "lattice_angstrom": [[5.897, 3.405, 4.973], [-5.897, 3.405, 4.973], [0.000, -6.810, 4.973]],
  "species": ["Tb", "Tb", "Tb", "Tb", "Tb", "Tb", "Tb", "Tb", "Tb", "Tb", "Tb", "Tb", "Dy", "Dy", "Dy", "Dy", "Dy", "Dy", "Al"],
  "fractional_positions": [[0.038, 0.282, 0.935], [0.065, 0.962, 0.718], [0.140, 0.320, 0.485], [0.282, 0.935, 0.038], [0.320, 0.485, 0.140], [0.485, 0.140, 0.320], [0.515, 0.860, 0.680], [0.680, 0.515, 0.860], [0.718, 0.065, 0.962], [0.860, 0.680, 0.515], [0.935, 0.038, 0.282], [0.962, 0.718, 0.065], [0.211, 0.596, 0.757], [0.243, 0.789, 0.404], [0.404, 0.243, 0.789], [0.596, 0.757, 0.211], [0.757, 0.211, 0.596], [0.789, 0.404, 0.243], [0.500, 0.500, 0.500]]
}



6.
{
  "formula": "YSc2Rh2",
  "functional": "PBE",
  "state": "optimized geometry",
  "n_ef_per_ev_atom": 0.89,
  "sg": "I4/mmm, No. 139",
  "e_above_lowest_polymorph_mev_per_atom": 274.8,
  "lattice_angstrom": [[-2.381, 2.381, 4.885], [2.381, -2.381, 4.885], [2.381, 2.381, -4.885]],
  "species": ["Y", "Sc", "Sc", "Rh", "Rh"],
  "fractional_positions": [[0.000, 0.000, 0.000], [0.344, 0.344, 0.000], [0.656, 0.656, 0.000], [0.250, 0.750, 0.500], [0.750, 0.250, 0.500]]
}



7.
{
  "formula": "Al2CuP",
  "functional": "PBE",
  "state": "optimized geometry",
  "n_ef_per_ev_atom": 0.40,
  "sg": "P4mm, No. 99",
  "lattice_angstrom": [[3.472, 0.000, 0.000], [0.000, 3.472, 0.000], [0.000, 0.000, 5.133]],
  "species": ["Al", "Al", "Cu", "P"],
  "fractional_positions": [[0.000, 0.000, 0.000], [0.500, 0.500, 0.362], [0.000, 0.000, 0.484], [0.500, 0.500, 0.872]]
}



8.
{
  "formula": "SiTe2PbN",
  "functional": "PBE",
  "state": "optimized geometry",
  "n_ef_per_ev_atom": 0.70,
  "sg": "P4/mmm, No. 123",
  "e_above_lowest_polymorph_mev_per_atom": 1246.4,
  "formation_energy_uncorrected_mev_per_atom": 1332.2,
  "lattice_angstrom": [[5.892, 0.000, 0.000], [0.000, 5.892, 0.000], [0.000, 0.000, 4.249]],
  "species": ["Si", "Te", "Te", "Pb", "N"],
  "fractional_positions": [[0.000, 0.000, 0.000], [0.000, 0.500, 0.500], [0.500, 0.000, 0.500], [0.500, 0.500, 0.500], [0.500, 0.500, 0.000]]
}



9.
{
  "formula": "Pr6Br2N3",
  "functional": "PBE",
  "state": "optimized geometry",
  "n_ef_per_ev_atom": 0.46,
  "sg": "C2/m, No. 12",
  "formation_energy_uncorrected_mev_per_atom": -1207.6,
  "lattice_angstrom": [[3.269, -5.659, 0.000], [3.269, 5.659, 0.000], [-2.173, 0.000, 7.132]],
  "species": ["Pr", "Pr", "Pr", "Pr", "Pr", "Pr", "Br", "Br", "N", "N", "N"],
  "fractional_positions": [[0.104, 0.431, 0.813], [0.223, 0.223, 0.191], [0.431, 0.104, 0.813], [0.569, 0.896, 0.187], [0.777, 0.777, 0.809], [0.896, 0.569, 0.187], [0.333, 0.667, 0.500], [0.667, 0.333, 0.500], [0.168, 0.832, 0.000], [0.500, 0.500, 0.000], [0.832, 0.168, 0.000]]
}



10.
{
  "formula": "InAg2HgRu",
  "functional": "PBE",
  "state": "optimized geometry",
  "n_ef_per_ev_atom": 1.46,
  "sg": "P4/mmm, No. 123",
  "lattice_angstrom": [[5.103, 0.000, 0.000], [0.000, 5.103, 0.000], [0.000, 0.000, 5.259]],
  "species": ["In", "Ag", "Ag", "Hg", "Ru"],
  "fractional_positions": [[0.000, 0.000, 0.000], [0.000, 0.500, 0.000], [0.500, 0.000, 0.000], [0.000, 0.000, 0.500], [0.500, 0.500, 0.500]]
}



For reference, total energy by record: -97.896; -20.223; -106.757; -40.629; -85.219; -36.064; -17.109; -17.079; -70.282; -11.246 eV/cell.